1.
Entry from Alexandria via LeMat-Bulk: a relaxed Na4CdIn4 crystal (GGA-PBE).

Values from the calculation:
Total magnetic moment: 0.0 μB per formula unit

a = 5.9037 Å, b = 8.5690 Å, c = 5.9037 Å
α = 69.85°, β = 90.00°, γ = 110.15°
Last column: nearest neighbours and their distance in Å.
Fractional positions:
1 Na 0.2166 0.8135 0.4031  1 Cd 2.94, 1 Na 3.18, 1 In 3.22
2 Na 0.5969 0.8135 0.7834  1 Cd 2.94, 1 Na 3.18, 1 In 3.22
3 Na 0.4031 0.1865 0.5969  1 Cd 2.94, 1 Na 3.18, 1 In 3.22
4 Na 0.7834 0.1865 0.2166  1 Cd 2.94, 1 Na 3.18, 1 In 3.22
5 Cd 0.0000 0.0000 0.0000  4 Na 2.94
6 In 0.3888 0.3839 0.0049  5 Na 3.22-3.40, 5 In 3.29-3.48, 1 Cd 3.31
7 In 0.9951 0.3839 0.6112  5 Na 3.22-3.40, 5 In 3.29-3.48, 1 Cd 3.31
8 In 0.0049 0.6161 0.9951  5 Na 3.22-3.40, 5 In 3.29-3.48, 1 Cd 3.31
9 In 0.6112 0.6161 0.3888  5 Na 3.22-3.40, 5 In 3.29-3.48, 1 Cd 3.31

---

2.
Entry from Alexandria via LeMat-Bulk: a relaxed Na2CdIn crystal (GGA-PBE).

Values from the calculation:
Total magnetic moment: 0.0 μB per formula unit

a = 8.6941 Å, b = 8.6941 Å, c = 6.8782 Å
α = 50.80°, β = 50.80°, γ = 90.00°
Last column: nearest neighbours and their distance in Å.
Fractional positions:
1 Na 0.6167 0.1250 0.2500  2 Na 3.09, 2 Cd 3.12, 2 In 3.22
2 Na 0.1333 0.6250 0.2500  2 Na 3.09, 2 Cd 3.12, 2 In 3.22
3 Na 0.3750 0.3833 0.7500  2 Na 3.09, 2 Cd 3.12, 2 In 3.22
4 Na 0.8750 0.8667 0.7500  2 Na 3.09, 2 Cd 3.12, 2 In 3.22
5 Cd 0.5000 0.5000 0.0000  2 In 3.08, 4 Na 3.12
6 Cd 0.2500 0.7500 0.5000  2 In 3.08, 4 Na 3.12
7 In 0.0000 0.0000 0.0000  2 Cd 3.08, 4 Na 3.22
8 In 0.7500 0.2500 0.5000  2 Cd 3.08, 4 Na 3.22

---

3.
Entry from Alexandria via LeMat-Bulk: a relaxed Na4Cd2In crystal (GGA-PBE).

Values from the calculation:
Total magnetic moment: 0.0 μB per formula unit

a = 3.2278 Å, b = 5.7058 Å, c = 11.3152 Å
α = 77.30°, β = 90.00°, γ = 106.43°
Last column: nearest neighbours and their distance in Å.
Fractional positions:
1 Na 0.5920 0.1840 0.2197  4 Cd 3.16-3.43, 5 Na 3.23-3.50, 2 In 3.50
2 Na 0.4080 0.8160 0.7803  4 Cd 3.16-3.43, 5 Na 3.23-3.50, 2 In 3.50
3 Na 0.6997 0.3993 0.6350  7 Na 3.23-3.50, 3 In 3.29-3.35, 1 Cd 3.29
4 Na 0.3003 0.6007 0.3650  7 Na 3.23-3.50, 3 In 3.29-3.35, 1 Cd 3.29
5 Cd 0.6421 0.2842 0.9337  5 Cd 3.13-3.47, 5 Na 3.16-3.43
6 Cd 0.3579 0.7158 0.0663  5 Cd 3.13-3.47, 5 Na 3.16-3.43
7 In 0.0000 0.0000 0.5000  2 In 3.23, 10 Na 3.29-3.50

---

4.
Entry from Alexandria via LeMat-Bulk: a relaxed NaCd6In8 crystal (GGA-PBE).

Values from the calculation:
Total magnetic moment: 0.0 μB per formula unit

a = 8.7691 Å, b = 8.7691 Å, c = 8.0878 Å
α = 57.17°, β = 57.17°, γ = 60.00°
Last column: nearest neighbours and their distance in Å.
Fractional positions:
1 Na 0.0000 0.0000 0.0000  6 Cd 3.24, 6 In 3.52
2 Cd 0.4081 0.0609 0.8111  7 In 3.03-3.29, 1 Na 3.24
3 Cd 0.9391 0.2801 0.1889  7 In 3.03-3.29, 1 Na 3.24
4 Cd 0.2801 0.5919 0.1889  7 In 3.03-3.29, 1 Na 3.24
5 Cd 0.7199 0.4081 0.8111  7 In 3.03-3.29, 1 Na 3.24
6 Cd 0.0609 0.7199 0.8111  7 In 3.03-3.29, 1 Na 3.24
7 Cd 0.5919 0.9391 0.1889  7 In 3.03-3.29, 1 Na 3.24
8 In 0.5690 0.2148 0.3313  5 Cd 3.03-3.29
9 In 0.7852 0.1151 0.6687  5 Cd 3.03-3.29
10 In 0.1151 0.4310 0.6687  5 Cd 3.03-3.29
11 In 0.6682 0.6682 0.9954  6 Cd 3.09-3.14
12 In 0.3318 0.3318 0.0046  6 Cd 3.09-3.14
13 In 0.8849 0.5690 0.3313  5 Cd 3.03-3.29
14 In 0.2148 0.8849 0.3313  5 Cd 3.03-3.29
15 In 0.4310 0.7852 0.6687  5 Cd 3.03-3.29

---

5.
Entry from Alexandria via LeMat-Bulk: a relaxed NaCdIn crystal (GGA-PBE).

Values from the calculation:
Total magnetic moment: 0.0 μB per formula unit

a = 3.4524 Å, b = 5.0894 Å, c = 5.0894 Å
α = 120.00°, β = 90.00°, γ = 90.00°
Last column: nearest neighbours and their distance in Å.
Fractional positions:
1 Na 0.6666 0.3333 0.6667  6 Cd 3.41, 6 In 3.41, 2 Na 3.45
2 Cd 0.1677 0.6667 0.3333  3 In 2.94
3 In 0.1657 0.0000 0.0000  3 Cd 2.94

---

6.
Entry from Alexandria via LeMat-Bulk: a relaxed Na3CdIn2 crystal (GGA-PBE).

Values from the calculation:
Total magnetic moment: 0.0 μB per formula unit

a = 6.3212 Å, b = 7.5129 Å, c = 7.5129 Å
α = 93.65°, β = 90.00°, γ = 90.00°
Last column: nearest neighbours and their distance in Å.
Fractional positions:
1 Na 0.2500 0.8939 0.1061  4 In 3.31, 1 Cd 3.45
2 Na 0.7500 0.1061 0.8939  4 In 3.31, 1 Cd 3.45
3 Na 0.2500 0.0809 0.5838  4 In 3.26-3.29, 3 Na 3.45-3.59
4 Na 0.7500 0.9191 0.4162  4 In 3.26-3.29, 3 Na 3.45-3.59
5 Na 0.2500 0.4162 0.9191  4 In 3.26-3.29, 3 Na 3.45-3.59
6 Na 0.7500 0.5838 0.0809  4 In 3.26-3.29, 3 Na 3.45-3.59
7 Cd 0.2500 0.5787 0.4213  4 In 3.06
8 Cd 0.7500 0.4213 0.5787  4 In 3.06
9 In 0.0000 0.2595 0.2595  2 Cd 3.06, 2 In 3.16, 6 Na 3.26-3.31
10 In 0.5000 0.7405 0.7405  2 Cd 3.06, 2 In 3.16, 6 Na 3.26-3.31
11 In 0.0000 0.7405 0.7405  2 Cd 3.06, 2 In 3.16, 6 Na 3.26-3.31
12 In 0.5000 0.2595 0.2595  2 Cd 3.06, 2 In 3.16, 6 Na 3.26-3.31

---

7.
Entry from Alexandria via LeMat-Bulk: a relaxed NaCd5In2 crystal (GGA-PBE).

Values from the calculation:
Total magnetic moment: 0.0 μB per formula unit

a = 3.6199 Å, b = 7.7312 Å, c = 7.7312 Å
α = 74.58°, β = 76.46°, γ = 76.46°
Last column: nearest neighbours and their distance in Å.
Fractional positions:
1 Na 0.0000 0.0000 0.0000  4 In 3.39, 8 Cd 3.48, 2 Na 3.62
2 Cd 0.0000 0.5000 0.5000  2 In 3.01, 8 Cd 3.15
3 Cd 0.6265 0.5982 0.1487  3 In 2.93-3.17, 3 Cd 2.98-3.15
4 Cd 0.3735 0.4018 0.8513  3 In 2.93-3.17, 3 Cd 2.98-3.15
5 Cd 0.3735 0.8513 0.4018  3 In 2.93-3.17, 3 Cd 2.98-3.15
6 Cd 0.6265 0.1487 0.5982  3 In 2.93-3.17, 3 Cd 2.98-3.15
7 In 0.7440 0.7560 0.7560  7 Cd 2.93-3.17
8 In 0.2560 0.2440 0.2440  7 Cd 2.93-3.17

---

8.
Entry from Alexandria via LeMat-Bulk: a relaxed NaCd7In2 crystal (GGA-PBE).

Values from the calculation:
Total magnetic moment: 0.0 μB per formula unit

a = 4.7711 Å, b = 7.7954 Å, c = 8.9217 Å
α = 115.90°, β = 90.00°, γ = 90.00°
Last column: nearest neighbours and their distance in Å.
Fractional positions:
1 Na 0.0000 0.0000 0.0000  10 Cd 3.13-3.25
2 Cd 0.0000 0.8051 0.6103  2 In 2.92, 1 Na 3.13, 4 Cd 3.15
3 Cd 0.0000 0.1949 0.3897  2 In 2.92, 1 Na 3.13, 4 Cd 3.15
4 Cd 0.5000 0.7117 0.7924  4 Cd 2.88-3.15, 1 In 2.91
5 Cd 0.5000 0.2883 0.2076  4 Cd 2.88-3.15, 1 In 2.91
6 Cd 0.5000 0.9193 0.2076  4 Cd 2.88-3.15, 1 In 2.91
7 Cd 0.5000 0.0807 0.7924  4 Cd 2.88-3.15, 1 In 2.91
8 Cd 0.5000 0.5000 0.0000  4 Cd 2.97, 2 In 3.22
9 In 0.5000 0.7007 0.4014  5 Cd 2.91-3.22
10 In 0.5000 0.2993 0.5986  5 Cd 2.91-3.22

---

9.
Entry from Alexandria via LeMat-Bulk: a relaxed NaCdInNi crystal (GGA-PBE).

Values from the calculation:
Total magnetic moment: 0.0 μB per formula unit

a = 4.7383 Å, b = 4.7383 Å, c = 4.7383 Å
α = 60.00°, β = 60.00°, γ = 60.00°
Last column: nearest neighbours and their distance in Å.
Fractional positions:
1 Ni 0.2500 0.2500 0.2500  4 Cd 2.90, 4 In 2.90
2 Cd 0.5000 0.5000 0.5000  4 Na 2.90, 4 Ni 2.90
3 Na 0.7500 0.7500 0.7500  4 In 2.90, 4 Cd 2.90
4 In 0.0000 0.0000 0.0000  4 Ni 2.90, 4 Na 2.90

---

10.
Entry from Alexandria via LeMat-Bulk: a relaxed NaCd2InNi crystal (GGA-PBE).

Values from the calculation:
Total magnetic moment: 0.0 μB per formula unit

a = 5.0588 Å, b = 5.0588 Å, c = 4.9153 Å
α = 90.00°, β = 90.00°, γ = 90.00°
Last column: nearest neighbours and their distance in Å.
Fractional positions:
1 Ni 0.0000 0.0000 0.0000  2 In 2.46, 4 Cd 2.53
2 Cd 0.0000 0.5000 0.0000  2 Ni 2.53
3 Cd 0.5000 0.0000 0.0000  2 Ni 2.53
4 Na 0.5000 0.5000 0.5000  8 Cd 3.53, 4 In 3.58
5 In 0.0000 0.0000 0.5000  2 Ni 2.46

---

11.
Entry from Alexandria via LeMat-Bulk: a relaxed NaCdInPb3 crystal (GGA-PBE).

Values from the calculation:
Total magnetic moment: 0.0 μB per formula unit

a = 5.0838 Å, b = 7.4076 Å, c = 10.1401 Å
α = 115.92°, β = 90.00°, γ = 90.00°
Last column: nearest neighbours and their distance in Å.
Fractional positions:
1 Na 0.2500 0.1301 0.2982  1 In 3.31, 3 Cd 3.38-3.40, 8 Pb 3.42-3.54
2 Na 0.7500 0.8699 0.7018  1 In 3.31, 3 Cd 3.38-3.40, 8 Pb 3.42-3.54
3 Cd 0.2500 0.1166 0.6273  5 Pb 3.13-3.41, 3 Na 3.38-3.40, 2 In 3.49, 2 Cd 3.49
4 Cd 0.7500 0.8834 0.3727  5 Pb 3.13-3.41, 3 Na 3.38-3.40, 2 In 3.49, 2 Cd 3.49
5 In 0.2500 0.6346 0.1242  1 Na 3.31, 7 Pb 3.33-3.44, 2 Cd 3.49, 2 In 3.52
6 In 0.7500 0.3654 0.8758  1 Na 3.31, 7 Pb 3.33-3.44, 2 Cd 3.49, 2 In 3.52
7 Pb 0.7500 0.8765 0.0470  1 Cd 3.28, 3 In 3.39-3.41, 5 Pb 3.45-3.58, 3 Na 3.48-3.51
8 Pb 0.2500 0.1235 0.9530  1 Cd 3.28, 3 In 3.39-3.41, 5 Pb 3.45-3.58, 3 Na 3.48-3.51
9 Pb 0.2500 0.6473 0.4582  3 Cd 3.13-3.41, 1 In 3.35, 3 Na 3.42-3.45, 3 Pb 3.48
10 Pb 0.7500 0.3527 0.5418  3 Cd 3.13-3.41, 1 In 3.35, 3 Na 3.42-3.45, 3 Pb 3.48
11 Pb 0.7500 0.3939 0.2130  1 Cd 3.26, 3 In 3.33-3.44, 6 Pb 3.45-3.58, 2 Na 3.54
12 Pb 0.2500 0.6061 0.7870  1 Cd 3.26, 3 In 3.33-3.44, 6 Pb 3.45-3.58, 2 Na 3.54

---

12.
Entry from Alexandria via LeMat-Bulk: a relaxed NaCdIn2Pb crystal (GGA-PBE).

Values from the calculation:
Total magnetic moment: 0.0 μB per formula unit

a = 6.6365 Å, b = 6.6908 Å, c = 7.6109 Å
α = 116.08°, β = 90.00°, γ = 90.00°
Last column: nearest neighbours and their distance in Å.
Fractional positions:
1 Na 0.7500 0.7375 0.4750  4 Pb 3.54-3.69, 4 Cd 3.61-3.73
2 Na 0.2500 0.2625 0.5250  4 Pb 3.54-3.69, 4 Cd 3.61-3.73
3 Cd 0.2500 0.8623 0.7247  1 Pb 2.93, 4 In 3.00
4 Cd 0.7500 0.1377 0.2753  1 Pb 2.93, 4 In 3.00
5 In 0.5000 0.2462 0.0000  2 Cd 3.00, 2 Pb 3.12, 3 In 3.29-3.32
6 In 0.0000 0.7538 0.0000  2 Cd 3.00, 2 Pb 3.12, 3 In 3.29-3.32
7 In 0.5000 0.7538 0.0000  2 Cd 3.00, 2 Pb 3.12, 3 In 3.29-3.32
8 In 0.0000 0.2462 0.0000  2 Cd 3.00, 2 Pb 3.12, 3 In 3.29-3.32
9 Pb 0.2500 0.6478 0.2955  1 Cd 2.93, 4 In 3.12
10 Pb 0.7500 0.3522 0.7045  1 Cd 2.93, 4 In 3.12

---

One value per record, in order, for energy of formation: 0.01; 0.05; -0.03; 0.05; -0.13; -0.06; -0.02; 0.12; 0.07; -0.03; -0.04; -0.02 eV/atom.